w:
This record from Alexandria via LeMat-Bulk describes a relaxed structure of BaMg2Sc. The functional is PBE-GGA.

Cell: 3.5448 3.5448 33.5293 Å, 90.00 90.00 120.00°
Space group R-3m (No. 166, hexagonal axes)
Unique sites:
Ba 0.0000 0.0000 0.0000
Mg 0.0000 0.0000 0.2405
Sc 0.0000 0.0000 0.5000

ρ: 3.15 Mg/m³

=====

x:
This record from Alexandria via LeMat-Bulk describes a relaxed structure of BaMg2Sc. The functional is PBE-GGA.

Cell: 8.058 8.076 3.751 Å, 90.00 90.00 90.00°
Space group Cmmm (No. 65)
Unique sites:
Ba 0.000 0.000 0.000
Mg 0.250 0.250 0.500
Sc 0.000 0.500 0.000

ρ: 3.14 Mg/m³

=====

Calculated relative energies: w 58; x 0, given in meV per atom

=====

w:
This record from Alexandria via LeMat-Bulk describes a relaxed structure of BaMg2Sc. The functional is PBE-GGA.

Cell: 7.920 7.920 7.920 Å, 90.00 90.00 90.00°
Space group Fm-3m (No. 225)
Unique sites:
Ba 0.000 0.000 0.000
Mg 0.250 0.250 0.250
Sc 0.000 0.000 0.500

ρ: 3.09 Mg/m³

=====

x:
This record from Alexandria via LeMat-Bulk describes a relaxed structure of BaMg2Sc. The functional is PBE-GGA.

Cell: 7.836 7.836 7.836 Å, 90.00 90.00 90.00°
Space group F-43m (No. 216)
Unique sites:
Ba 0.000 0.000 0.000
Mg 0.000 0.000 0.500
Mg 0.250 0.250 0.750
Sc 0.250 0.250 0.250

ρ: 3.19 Mg/m³

=====

y:
This record from Alexandria via LeMat-Bulk describes a relaxed structure of BaMg2Sc. The functional is PBE-GGA.

Cell: 10.926 3.433 6.641 Å, 90.00 97.31 90.00°
Space group Cm (No. 8)
Unique sites:
Ba 0.000 0.000 0.000
Mg 0.005 0.500 0.496
Mg 0.245 0.000 0.716
Sc 0.266 0.500 0.320

ρ: 3.10 Mg/m³

=====

Calculated relative energies: w 0; x 90; y 55, given in meV per atom

=====

w:
This record from Alexandria via LeMat-Bulk describes a relaxed structure of BaMg2Sc. The functional is PBE-GGA.

Cell: 10.792 3.460 6.984 Å, 90.00 99.14 90.00°
Space group C2/m (No. 12)
Unique sites:
Ba 0.000 0.000 0.000
Mg 0.238 0.000 0.687
Sc 0.000 0.500 0.500

ρ: 2.98 Mg/m³

=====

x:
This record from Alexandria via LeMat-Bulk describes a relaxed structure of BaMg2Sc. The functional is PBE-GGA.

Cell: 3.641 5.834 11.594 Å, 90.00 90.00 90.00°
Space group Imm2 (No. 44)
Unique sites:
Ba 0.000 0.000 0.000
Mg 0.000 0.000 0.483
Mg 0.000 0.500 0.770
Sc 0.000 0.500 0.210

ρ: 3.11 Mg/m³

=====

Calculated relative energies: w 12; x 0, given in meV per atom

=====

w:
This record from Alexandria via LeMat-Bulk describes a relaxed structure of BaMg2Sc. The functional is PBE-GGA.

Cell: 3.630 3.630 9.411 Å, 90.00 90.00 90.00°
Space group P4mm (No. 99)
Unique sites:
Ba 0.000 0.000 0.000
Mg 0.000 0.000 0.492
Mg 0.500 0.500 0.302
Sc 0.500 0.500 0.683

ρ: 3.09 Mg/m³

=====

x:
This record from Alexandria via LeMat-Bulk describes a relaxed structure of BaMg2Sc. The functional is PBE-GGA.

Cell: 5.039 5.039 22.590 Å, 90.00 90.00 90.00°
Space group I-42d (No. 122)
Unique sites:
Ba 0.000 0.000 0.000
Mg 0.165 0.250 0.625
Sc 0.000 0.000 0.500

ρ: 2.67 Mg/m³

=====

Calculated relative energies: w 0; x 333, given in meV per atom

=====

w:
This record from Alexandria via LeMat-Bulk describes a relaxed structure of BaMg2Sc. The functional is PBE-GGA.

Cell: 3.503 5.197 7.133 Å, 90.00 104.11 90.00°
Space group Pm (No. 6)
Unique sites:
Ba 0.000 0.000 0.000
Mg 0.631 0.500 0.263
Mg 0.745 0.000 0.498
Sc 0.321 0.500 0.646

ρ: 3.04 Mg/m³

=====

x:
This record from Alexandria via LeMat-Bulk describes a relaxed structure of BaMg2Sc. The functional is PBE-GGA.

Cell: 3.5482 3.5482 33.5326 Å, 90.00 90.00 120.00°
Space group R3m (No. 160, hexagonal axes)
Unique sites:
Ba 0.0000 0.0000 0.0000
Mg 0.0000 0.0000 0.2413
Mg 0.0000 0.0000 0.5016
Sc 0.0000 0.0000 0.7624

ρ: 3.15 Mg/m³

=====

Calculated relative energies: w 0; x 120, given in meV per atom

=====

w:
This record from Alexandria via LeMat-Bulk describes a relaxed structure of BaMgSc3. The functional is PBE-GGA.

Cell: 5.499 5.499 5.499 Å, 90.00 90.00 90.00°
Space group Pm-3m (No. 221)
Unique sites:
Ba 0.000 0.000 0.000
Mg 0.500 0.500 0.500
Sc 0.000 0.500 0.500

ρ: 2.96 Mg/m³

=====

x:
This record from Alexandria via LeMat-Bulk describes a relaxed structure of BaMgSc3. The functional is PBE-GGA.

Cell: 5.375 5.375 5.375 Å, 90.00 90.00 90.00°
Space group Pm-3m (No. 221)
Unique sites:
Ba 0.000 0.000 0.000
Mg 0.500 0.500 0.500
Sc 0.000 0.000 0.500

ρ: 3.17 Mg/m³

=====

Calculated relative energies: w 0; x 572, given in meV per atom

=====

w:
This record from Alexandria via LeMat-Bulk describes a relaxed structure of BaMg3Sc. The functional is PBE-GGA.

Cell: 5.851 5.851 5.851 Å, 90.00 90.00 90.00°
Space group Pm-3m (No. 221)
Unique sites:
Ba 0.000 0.000 0.000
Mg 0.000 0.000 0.500
Sc 0.500 0.500 0.500

ρ: 2.12 Mg/m³

=====

x:
This record from Alexandria via LeMat-Bulk describes a relaxed structure of BaMg3Sc. The functional is PBE-GGA.

Cell: 5.699 5.699 5.699 Å, 90.00 90.00 90.00°
Space group Pm-3m (No. 221)
Unique sites:
Ba 0.000 0.000 0.000
Mg 0.000 0.500 0.500
Sc 0.500 0.500 0.500

ρ: 2.29 Mg/m³

=====

Calculated relative energies: w 791; x 0, given in meV per atom

=====

w:
This record from Alexandria via LeMat-Bulk describes a relaxed structure of BaMg3Se. The functional is PBE-GGA.

Cell: 6.541 6.541 6.541 Å, 90.00 90.00 90.00°
Space group Pm-3m (No. 221)
Unique sites:
Ba 0.000 0.000 0.000
Mg 0.000 0.000 0.500
Se 0.500 0.500 0.500

ρ: 1.72 Mg/m³

=====

x:
This record from Alexandria via LeMat-Bulk describes a relaxed structure of BaMg3Se. The functional is PBE-GGA.

Cell: 5.467 5.467 5.467 Å, 90.00 90.00 90.00°
Space group Pm-3m (No. 221)
Unique sites:
Ba 0.000 0.000 0.000
Mg 0.000 0.500 0.500
Se 0.500 0.500 0.500

ρ: 2.94 Mg/m³

=====

Calculated relative energies: w 1116; x 0, given in meV per atom

=====

w:
This record from Alexandria via LeMat-Bulk describes a relaxed structure of BaMgSe3. The functional is PBE-GGA.

Cell: 5.196 5.196 5.196 Å, 90.00 90.00 90.00°
Space group Pm-3m (No. 221)
Unique sites:
Ba 0.000 0.000 0.000
Mg 0.500 0.500 0.500
Se 0.000 0.500 0.500

ρ: 4.72 Mg/m³

=====

x:
This record from Alexandria via LeMat-Bulk describes a relaxed structure of BaMgSe3. The functional is PBE-GGA.

Cell: 6.059 6.059 6.059 Å, 90.00 90.00 90.00°
Space group Pm-3m (No. 221)
Unique sites:
Ba 0.000 0.000 0.000
Mg 0.500 0.500 0.500
Se 0.000 0.000 0.500

ρ: 2.97 Mg/m³

=====

Calculated relative energies: w 0; x 1177, given in meV per atom

=====

w:
This record from Alexandria via LeMat-Bulk describes a relaxed structure of BaMg2Si. The functional is PBE-GGA.

Cell: 5.074 4.571 5.762 Å, 90.00 106.21 90.00°
Space group P2/m (No. 10)
Unique sites:
Ba 0.000 0.000 0.000
Mg 0.397 0.500 0.711
Si 0.500 0.000 0.500

ρ: 2.77 Mg/m³

=====

x:
This record from Alexandria via LeMat-Bulk describes a relaxed structure of BaMg2Si. The functional is PBE-GGA.

Cell: 4.602 4.602 10.742 Å, 90.00 90.00 90.00°
Space group P4/nmm (No. 129, origin choice 2)
Unique sites:
Ba 0.250 0.250 0.247
Mg 0.250 0.250 0.922
Mg 0.250 0.750 0.500
Si 0.250 0.250 0.649

ρ: 3.12 Mg/m³

=====

y:
This record from Alexandria via LeMat-Bulk describes a relaxed structure of BaMg2Si. The functional is PBE-GGA.

Cell: 12.989 3.303 5.855 Å, 90.00 116.20 90.00°
Space group C2/m (No. 12)
Unique sites:
Ba 0.000 0.000 0.000
Mg 0.198 0.000 0.696
Si 0.000 0.500 0.500

ρ: 3.15 Mg/m³

=====

Calculated relative energies: w 227; x 0; y 249, given in meV per atom

=====

w:
This record from Alexandria via LeMat-Bulk describes a relaxed structure of BaMg2Si. The functional is PBE-GGA.

Cell: 6.641 9.614 3.582 Å, 90.00 90.00 90.00°
Space group Cmmm (No. 65)
Unique sites:
Ba 0.000 0.000 0.000
Mg 0.250 0.250 0.500
Si 0.000 0.500 0.000

ρ: 3.11 Mg/m³

=====

x:
This record from Alexandria via LeMat-Bulk describes a relaxed structure of BaMg2Si. The functional is PBE-GGA.

Cell: 4.102 5.654 10.004 Å, 90.00 90.00 90.00°
Space group Immm (No. 71)
Unique sites:
Ba 0.000 0.000 0.000
Mg 0.000 0.500 0.192
Si 0.000 0.000 0.500

ρ: 3.06 Mg/m³

=====

Calculated relative energies: w 300; x 0, given in meV per atom

=====

w:
This record from Alexandria via LeMat-Bulk describes a relaxed structure of BaMg2Si. The functional is PBE-GGA.

Cell: 6.537 11.986 3.253 Å, 90.00 117.65 90.00°
Space group C2/m (No. 12)
Unique sites:
Ba 0.000 0.000 0.000
Mg 0.250 0.250 0.500
Si 0.000 0.500 0.000

ρ: 3.15 Mg/m³

=====

x:
This record from Alexandria via LeMat-Bulk describes a relaxed structure of BaMg2Si. The functional is PBE-GGA.

Cell: 7.436 7.436 7.436 Å, 90.00 90.00 90.00°
Space group Fm-3m (No. 225)
Unique sites:
Ba 0.000 0.000 0.000
Mg 0.250 0.250 0.250
Si 0.000 0.000 0.500

ρ: 3.46 Mg/m³

=====

Calculated relative energies: w 106; x 0, given in meV per atom

=====

w:
This record from Alexandria via LeMat-Bulk describes a relaxed structure of BaMg2Si. The functional is PBE-GGA.

Cell: 3.575 3.619 8.505 Å, 90.00 90.00 90.00°
Space group Pmmm (No. 47)
Unique sites:
Ba 0.000 0.000 0.000
Mg 0.500 0.500 0.324
Si 0.000 0.000 0.500

ρ: 3.23 Mg/m³

=====

x:
This record from Alexandria via LeMat-Bulk describes a relaxed structure of BaMg2Si. The functional is PBE-GGA.

Cell: 4.376 4.431 6.917 Å, 90.00 108.02 90.00°
Space group Pm (No. 6)
Unique sites:
Ba 0.000 0.000 0.000
Mg 0.285 0.000 0.562
Mg 0.771 0.500 0.530
Si 0.396 0.500 0.785

ρ: 2.79 Mg/m³

=====

Calculated relative energies: w 218; x 0, given in meV per atom